Entry 1:
PBE BaCr3Ir, relaxed; calculated formation energy = 0.79 eV per atom; symmetry = Pm-3m, No. 221; total magnetic moment = 10.751 Bohr magnetons per cell; polymorph energy (0 for the lowest one) = 0.0 meV per atom; total energy = -35.70 eV per cell
1.0
4.945 0.000 0.000
0.000 4.945 0.000
0.000 0.000 4.945
Ba Cr Ir
1 3 1
Cartesian
0.000 0.000 0.000
0.000 2.472 2.472
2.472 0.000 2.472
2.472 2.472 0.000
2.472 2.472 2.472



Entry 2:
PBE Ba2CrIr, relaxed; calculated formation energy = 0.52 eV per atom; symmetry = Fm-3m, No. 225; total magnetic moment = 5.075 Bohr magnetons per cell; polymorph energy (0 for the lowest one) = 385.5 meV per atom; total energy = -20.25 eV per cell
1.0
0.000 3.915 3.915
3.915 0.000 3.915
3.915 3.915 0.000
Ba Cr Ir
2 1 1
Cartesian
1.958 1.958 1.958
5.873 5.873 5.873
0.000 0.000 0.000
3.915 3.915 3.915



Entry 3:
PBE BaCr2Ir, relaxed; calculated formation energy = 1.03 eV per atom; symmetry = F-43m, No. 216; total magnetic moment = 8.842 Bohr magnetons per cell; polymorph energy (0 for the lowest one) = 753.5 meV per atom; total energy = -25.91 eV per cell
1.0
0.000 3.530 3.530
3.530 0.000 3.530
3.530 3.530 0.000
Ba Cr Ir
1 2 1
Cartesian
0.000 0.000 0.000
3.530 3.530 3.530
5.294 5.294 5.294
1.765 1.765 1.765



Entry 4:
PBE BaCrIr2, relaxed; calculated formation energy = 0.06 eV per atom; symmetry = R-3m, No. 166; total magnetic moment = 2.118 Bohr magnetons per cell; polymorph energy (0 for the lowest one) = 0.0 meV per atom; total energy = -29.01 eV per cell
1.0
2.207 1.274 5.787
-2.207 1.274 5.787
0.000 -2.549 5.787
Ba Cr Ir
1 1 2
Cartesian
0.000 0.000 0.000
0.000 0.000 8.680
0.000 0.000 3.196
0.000 0.000 14.164